Computed, not measured: a relaxed structure of Pm2SmErSe5 at the PBE-GGA level of DFT.

It has space group P4/mmm (No. 123), with a = 5.104 Å, b = 5.104 Å, c = 10.878 Å, α = 90.00°, β = 90.00° and γ = 90.00°. Symmetry generates all atoms from Pm at (0.000, 0.000, 0.170), Sm at (0.500, 0.500, 0.500), Er at (0.500, 0.500, 0.000), Se at (0.000, 0.000, 0.500), Se at (0.000, 0.500, 0.000) and Se at (0.500, 0.500, 0.250).

For the calculated volume, the calculation gives 31.49 A^3/atom. For the raw formation energy, the calculation gives -1.2697 eV/atom.